Be2MoOs: relaxed, PBE-GGA.

a b c (Å): 2.8243 2.8243 5.8122
angles (deg): 90.00 90.00 90.00
Atoms (fractional coordinates):
Be: 0.0000 0.0000 0.9673
Be: 0.0000 0.0000 0.5327
Mo: 0.5000 0.5000 0.2500
Os: 0.5000 0.5000 0.7500

Calculated values
V, A^3/atom: 11.59
Energy relative to the elements, eV/atom: 0.002
Energy above the most stable polymorph in this dataset, eV per atom: 0.168
Symmetry: P4/mmm (123)
Theoretical density, kg/m³: 10895